Record 1
{
  "formula": "Li2SiGe",
  "functional": "PBEsol",
  "state": "relaxed",
  "spacegroup": "Fm-3m (225)",
  "raw_formation_energy_mev_per_atom": -129.8,
  "dos_at_fermi_per_ev_cell": 1.10,
  "magmom_total_mub_per_fu": 0.0,
  "lattice": [[4.3225, 0.0000, 0.0000], [2.1612, 3.7434, 0.0000], [2.1612, 1.2478, 3.5293]],
  "species": ["Ge", "Li", "Li", "Si"],
  "fractional_positions": [[0.5000, 0.5000, 0.5000], [0.7500, 0.7500, 0.7500], [0.2500, 0.2500, 0.2500], [0.0000, 0.0000, 0.0000]]
}

---

Record 2
{
  "formula": "Y4SbRu",
  "functional": "PBEsol",
  "state": "relaxed",
  "spacegroup": "F-43m (216)",
  "raw_formation_energy_mev_per_atom": 519.5,
  "dos_at_fermi_per_ev_cell": 9.48,
  "magmom_total_mub_per_fu": 0.0,
  "lattice": [[5.9174, 0.0000, 0.0000], [2.9587, 5.1246, 0.0000], [2.9587, 1.7082, 4.8316]],
  "species": ["Y", "Y", "Ru", "Y", "Y", "Sb"],
  "fractional_positions": [[0.3761, 0.8716, 0.3761], [0.8716, 0.3761, 0.3761], [0.7500, 0.7500, 0.7500], [0.3761, 0.3761, 0.8716], [0.3761, 0.3761, 0.3761], [0.0000, 0.0000, 0.0000]]
}

---

Record 3
{
  "formula": "NaNb2TeS",
  "functional": "PBEsol",
  "state": "relaxed",
  "spacegroup": "P4/mmm (123)",
  "raw_formation_energy_mev_per_atom": 1288.1,
  "dos_at_fermi_per_ev_cell": 6.58,
  "magmom_total_mub_per_fu": 0.0,
  "lattice": [[-0.6149, 3.9364, -3.1524], [-4.7910, 0.5354, 1.6031], [1.6884, 3.3964, 3.9118]],
  "species": ["S", "Nb", "Te", "Na", "Nb"],
  "fractional_positions": [[0.0000, 0.0000, 0.5000], [0.5000, 0.0000, 0.0000], [0.0000, 0.0000, 0.0000], [0.5000, 0.5000, 0.5000], [0.0000, 0.5000, 0.0000]]
}

---

Record 4
{
  "formula": "Y2TlIr",
  "functional": "PBEsol",
  "state": "relaxed",
  "spacegroup": "P4mm (99)",
  "ef_ev_per_atom": -0.269,
  "dos_at_fermi_per_ev_cell": 2.17,
  "magmom_total_mub_per_fu": 0.0,
  "e_above_lowest_polymorph_ev_per_fu": 1.48,
  "lattice": [[3.9425, 0.0000, 0.0000], [0.0000, 3.9425, 0.0000], [0.0000, 0.0000, 6.5011]],
  "species": ["Y", "Y", "Tl", "Ir"],
  "fractional_positions": [[0.0000, 0.0000, 0.9919], [0.5000, 0.5000, 0.3254], [0.5000, 0.5000, 0.7798], [0.0000, 0.0000, 0.4029]]
}